Li2ErCrO4 (PBE+U, optimized geometry); uncorrected energy = -0.50605 Ry/atom; symmetry = P2/m (10)
1.0
3.172 0.000 0.000
0.000 5.402 0.101
0.000 -1.880 4.953
O Li Er Cr
4 2 1 1
direct
0.000 0.762 0.235 O
0.000 0.238 0.765 O
0.500 0.779 0.772 O
0.500 0.221 0.228 O
0.000 0.500 0.500 Li
0.500 0.000 0.500 Li
0.500 0.500 0.000 Er
0.000 0.000 0.000 Cr